Record 1
{"formula": "ReTc2P", "functional": "PBE-GGA", "state": "relaxed", "ef_ev_per_atom": -0.024, "sg": "No. 160", "cell": [[-3.663, -3.593, 6.630], [-4.797, -5.135, 4.572], [-2.270, -5.808, 5.604]], "species": ["Re", "Tc", "Tc", "P"], "fractional_positions": [[0.244, 0.244, 0.244], [0.000, 0.000, 0.000], [0.756, 0.756, 0.756], [0.499, 0.499, 0.499]]}

***

Record 2
{"formula": "GaCO4", "functional": "PBE-GGA", "state": "relaxed", "formation_energy_uncorrected_ev_per_atom": -1.076, "sg": "No. 63", "cell": [[4.458, -0.090, 0.000], [-1.756, 4.098, 0.000], [0.000, 0.000, 6.203]], "species": ["Ga", "Ga", "C", "C", "O", "O", "O", "O", "O", "O", "O", "O"], "fractional_positions": [[0.000, 0.000, 0.000], [0.000, 0.000, 0.500], [0.355, 0.645, 0.750], [0.645, 0.355, 0.250], [0.740, 0.260, 0.060], [0.260, 0.740, 0.560], [0.260, 0.740, 0.940], [0.740, 0.260, 0.440], [0.297, 0.224, 0.250], [0.703, 0.776, 0.750], [0.224, 0.297, 0.750], [0.776, 0.703, 0.250]]}

***

Record 3
{"formula": "TiZnAs", "functional": "PBE-GGA", "state": "relaxed", "ef_ev_per_atom": -0.460, "sg": "No. 129", "cell": [[-2.476, -2.052, -1.726], [2.118, -2.938, 0.455], [-3.342, -1.409, 6.467]], "species": ["Zn", "Zn", "As", "As", "Ti", "Ti"], "fractional_positions": [[0.000, 0.000, 0.000], [0.500, 0.500, 0.000], [0.000, 0.500, 0.685], [0.500, 0.000, 0.315], [0.000, 0.500, 0.340], [0.500, 0.000, 0.660]]}

***

Number 1: final energy -9.671 eV/atom, spin magnetization 0.000 μB/f.u.. Number 2: final energy -6.424 eV/atom, spin magnetization 1.008 μB/f.u.. Number 3: final energy -5.066 eV/atom, spin magnetization 0.000 μB/f.u..